{"formula": "Sr3TePd", "functional": "PBEsol", "state": "optimized geometry", "crystal_system": "cubic", "sg": "Pm-3m", "formation_energy_uncorrected_ev_per_atom": -0.600, "magnetic_moment_mub_per_cell": 0.0, "energy_ev_per_cell": -18.0, "lattice_angstrom": [[-0.9411, 0.4086, -5.6439], [5.6055, -0.7150, -0.9865], [-0.7738, -5.6770, -0.2819]], "species": ["Sr", "Sr", "Sr", "Te", "Pd"], "frac_coords": [[0.0000, 0.5000, 0.0000], [0.0000, 0.0000, 0.5000], [0.5000, 0.0000, 0.0000], [0.5000, 0.5000, 0.5000], [0.0000, 0.0000, 0.0000]]}